[1]
## TaRePt (PBE)

Data for crystalline TaRePt at its relaxed geometry.

a = 6.116 Å, b = 6.116 Å, c = 6.116 Å
α = 90.00°, β = 90.00°, γ = 90.00°
Space group F-43m (No. 216)
One atom of each set of equivalent atoms:
Ta 0.000 0.000 0.000 [4 per cell]
Re 0.250 0.250 0.750 [4 per cell]
Pt 0.250 0.250 0.250 [4 per cell]

**ΔH_f (0 K)**: 1.12 eV/f.u.
**Distance to the lowest polymorph of the same formula**: 580 meV/atom
**Total DFT energy (no corrections)**: -116.90 eV/cell

---

[2]
## TaRePt3 (PBE)

Data for crystalline TaRePt3 at its relaxed geometry.

a = 4.759 Å, b = 4.759 Å, c = 4.759 Å
α = 90.00°, β = 90.00°, γ = 90.00°
Space group Pm-3m (No. 221)
One atom of each set of equivalent atoms:
Ta 0.000 0.000 0.000 [1 per cell]
Re 0.500 0.500 0.500 [1 per cell]
Pt 0.000 0.500 0.500 [3 per cell]

**ΔH_f (0 K)**: 7.45 eV/f.u.
**Distance to the lowest polymorph of the same formula**: 0 meV/atom
**Total DFT energy (no corrections)**: -34.98 eV/cell

---

[3]
## TaRePt (PBE)

Data for crystalline TaRePt at its relaxed geometry.

a = 2.773 Å, b = 2.773 Å, c = 12.527 Å
α = 90.00°, β = 90.00°, γ = 90.00°
Space group I4mm (No. 107)
One atom of each set of equivalent atoms:
Ta 0.000 0.000 0.000 [2 per cell]
Re 0.000 0.000 0.328 [2 per cell]
Pt 0.000 0.000 0.668 [2 per cell]

**ΔH_f (0 K)**: -0.62 eV/f.u.
**Distance to the lowest polymorph of the same formula**: 0 meV/atom
**Total DFT energy (no corrections)**: -61.93 eV/cell

---

[4]
## TaRePt2 (PBE)

Data for crystalline TaRePt2 at its relaxed geometry.

a = 2.778 Å, b = 3.995 Å, c = 5.736 Å
α = 90.00°, β = 90.00°, γ = 90.00°
Space group Pmm2 (No. 25)
One atom of each set of equivalent atoms:
Ta 0.000 0.000 0.000 [1 per cell]
Re 0.500 0.500 0.730 [1 per cell]
Pt 0.000 0.000 0.507 [1 per cell]
Pt 0.500 0.500 0.244 [1 per cell]

**ΔH_f (0 K)**: -1.28 eV/f.u.
**Distance to the lowest polymorph of the same formula**: 123 meV/atom
**Total DFT energy (no corrections)**: -37.67 eV/cell

---

[5]
## TaRePt (PBE)

Data for crystalline TaRePt at its relaxed geometry.

a = 2.8087 Å, b = 2.8087 Å, c = 7.0917 Å
α = 90.00°, β = 90.00°, γ = 120.00°
Space group P3m1 (No. 156)
One atom of each set of equivalent atoms:
Ta 0.0000 0.0000 0.0000 [1 per cell]
Re 0.3333 0.6667 0.6546 [1 per cell]
Pt 0.6667 0.3333 0.3311 [1 per cell]

**ΔH_f (0 K)**: -0.21 eV/f.u.
**Distance to the lowest polymorph of the same formula**: 139 meV/atom
**Total DFT energy (no corrections)**: -30.55 eV/cell

---

[6]
## TaRe4Pt (PBE)

Data for crystalline TaRe4Pt at its relaxed geometry.

a = 7.309 Å, b = 7.309 Å, c = 7.309 Å
α = 90.00°, β = 90.00°, γ = 90.00°
Space group F-43m (No. 216)
One atom of each set of equivalent atoms:
Ta 0.000 0.000 0.000 [4 per cell]
Re 0.123 0.123 0.623 [16 per cell]
Pt 0.250 0.250 0.250 [4 per cell]

**ΔH_f (0 K)**: 0.43 eV/f.u.
**Total DFT energy (no corrections)**: -269.02 eV/cell

---

- Among the records above, which one has the lowest total DFT energy (no corrections)?
  TaRe4Pt

---

- Which value of total DFT energy (no corrections) does entry 4 give?
  -37.67 eV/cell

---

What did the third record say?
## TaRePt (PBE)

Data for crystalline TaRePt at its relaxed geometry.

a = 2.773 Å, b = 2.773 Å, c = 12.527 Å
α = 90.00°, β = 90.00°, γ = 90.00°
Space group I4mm (No. 107)
One atom of each set of equivalent atoms:
Ta 0.000 0.000 0.000 [2 per cell]
Re 0.000 0.000 0.328 [2 per cell]
Pt 0.000 0.000 0.668 [2 per cell]

**ΔH_f (0 K)**: -0.62 eV/f.u.
**Distance to the lowest polymorph of the same formula**: 0 meV/atom
**Total DFT energy (no corrections)**: -61.93 eV/cell

---

- Which value of total DFT energy (no corrections) does entry 1 give?
  -116.90 eV/cell